[1]
# Zn7Ni

A PBEsol-optimized structure of Zn7Ni (meta-GGA SCAN, the Alexandria database).

Cell: 7.483 7.483 7.483 Å, 90.00 90.00 90.00°
Space group Fm-3m (No. 225)
Asymmetric unit:
Zn: 0.000 0.000 0.000
Zn: 0.000 0.250 0.250
Ni: 0.000 0.000 0.500

Output
ρ = 8.19 g/cm3
DFT total energy = -444.8 eV per cell
calculated formation energy = -53 meV per atom

---

[2]
# Zn3Ni

A PBEsol-optimized structure of Zn3Ni (meta-GGA SCAN, the Alexandria database).

Cell: 4.664 8.331 5.174 Å, 90.00 90.00 90.00°
Space group Pnma (No. 62)
Asymmetric unit:
Zn: 0.058 0.250 0.111
Zn: 0.236 0.509 0.367
Ni: 0.082 0.250 0.613

Output
ρ = 8.42 g/cm3
DFT total energy = -228.8 eV per cell
calculated formation energy = -120 meV per atom

---

[3]
# Zn2Ni

A PBEsol-optimized structure of Zn2Ni (meta-GGA SCAN, the Alexandria database).

Cell: 2.634 3.489 7.926 Å, 90.00 90.00 90.00°
Space group Immm (No. 71)
Asymmetric unit:
Zn: 0.000 0.000 0.161
Ni: 0.000 0.000 0.500

Output
ρ = 8.64 g/cm3
DFT total energy = -87.4 eV per cell
calculated formation energy = -158 meV per atom

---

Among the records above, which one has the highest DFT total energy? Zn2Ni